PrTmZn4: optimized geometry, GGA-PBE.

Results
Fermi-level density of states, states/eV/cell: 5.2
Polymorph energy (0 for the lowest one), eV/f.u.: 0.182
Electronic total energy, eV per atom: -2.7042
Formation enthalpy at 0 K, eV per atom: -0.31

```
data_PrTmZn4
_space_group_name_H-M_alt 'F -4 3 m'
_space_group_IT_number 216
_space_group_name_Hall 'F -4 2 3'
_cell_length_a 7.799
_cell_length_b 7.799
_cell_length_c 7.799
_cell_angle_alpha 90.00
_cell_angle_beta 90.00
_cell_angle_gamma 90.00
loop_
_atom_site_label
_atom_site_fract_x
_atom_site_fract_y
_atom_site_fract_z
Pr1 0.000 0.000 0.000
Tm1 0.250 0.250 0.750
Zn1 0.125 0.125 0.375
```

Ag3Pb: optimized geometry, GGA-PBE.

Results
Fermi-level density of states, states/eV/cell: 2.2
Electronic total energy, eV per atom: -2.9421
Formation enthalpy at 0 K, eV per atom: 0.12

```
data_Ag3Pb
_space_group_name_H-M_alt 'R -3 m'
_space_group_IT_number 166
_space_group_name_Hall '-R 3 2"'
_cell_length_a 3.2231
_cell_length_b 3.2231
_cell_length_c 28.5132
_cell_angle_alpha 90.00
_cell_angle_beta 90.00
_cell_angle_gamma 120.00
loop_
_atom_site_label
_atom_site_fract_x
_atom_site_fract_y
_atom_site_fract_z
Ag1 0.0000 0.0000 0.0000
Ag2 0.0000 0.0000 0.2566
Pb1 0.0000 0.0000 0.5000
```

Zr2AgHg2: optimized geometry, GGA-PBE.

Results
Fermi-level density of states, states/eV/cell: 7.4
Polymorph energy (0 for the lowest one), eV/f.u.: 0.000
Electronic total energy, eV per atom: -4.1041
Formation enthalpy at 0 K, eV per atom: 0.01

```
data_Zr2AgHg2
_space_group_name_H-M_alt 'P 4/m b m'
_space_group_IT_number 127
_space_group_name_Hall '-P 4 2ab'
_cell_length_a 7.319
_cell_length_b 7.319
_cell_length_c 4.098
_cell_angle_alpha 90.00
_cell_angle_beta 90.00
_cell_angle_gamma 90.00
loop_
_atom_site_label
_atom_site_fract_x
_atom_site_fract_y
_atom_site_fract_z
Zr1 0.165 0.335 0.000
Ag1 0.000 0.000 0.500
Hg1 0.139 0.639 0.500
```

Ce2BeIn: optimized geometry, GGA-PBE.

Results
Fermi-level density of states, states/eV/cell: 8.3
Polymorph energy (0 for the lowest one), eV/f.u.: 0.000
Electronic total energy, eV per atom: -4.6442
Formation enthalpy at 0 K, eV per atom: -0.06

```
data_Ce2BeIn
_space_group_name_H-M_alt 'P 4/m m m'
_space_group_IT_number 123
_space_group_name_Hall '-P 4 2'
_cell_length_a 3.667
_cell_length_b 3.667
_cell_length_c 7.013
_cell_angle_alpha 90.00
_cell_angle_beta 90.00
_cell_angle_gamma 90.00
loop_
_atom_site_label
_atom_site_fract_x
_atom_site_fract_y
_atom_site_fract_z
Ce1 0.000 0.000 0.198
Be1 0.500 0.500 0.000
In1 0.500 0.500 0.500
```

ZnIn2W: optimized geometry, GGA-PBE.

Results
Fermi-level density of states, states/eV/cell: 14.8
Electronic total energy, eV per atom: -4.0588
Formation enthalpy at 0 K, eV per atom: 0.87

```
data_ZnIn2W
_space_group_name_H-M_alt 'F -4 3 m'
_space_group_IT_number 216
_space_group_name_Hall 'F -4 2 3'
_cell_length_a 6.770
_cell_length_b 6.770
_cell_length_c 6.770
_cell_angle_alpha 90.00
_cell_angle_beta 90.00
_cell_angle_gamma 90.00
loop_
_atom_site_label
_atom_site_fract_x
_atom_site_fract_y
_atom_site_fract_z
Zn1 0.000 0.000 0.000
In1 0.000 0.000 0.500
In2 0.250 0.250 0.750
W1 0.250 0.250 0.250
```

Pm2AlRu3: optimized geometry, GGA-PBE.

Results
Fermi-level density of states, states/eV/cell: 13.0
Polymorph energy (0 for the lowest one), eV/f.u.: 0.000
Electronic total energy, eV per atom: -7.1996
Formation enthalpy at 0 K, eV per atom: -0.35

```
data_Pm2AlRu3
_space_group_name_H-M_alt 'C 1 2/m 1'
_space_group_IT_number 12
_cell_length_a 8.988
_cell_length_b 5.559
_cell_length_c 5.286
_cell_angle_alpha 90.00
_cell_angle_beta 121.52
_cell_angle_gamma 90.00
loop_
_space_group_symop_operation_xyz
'x,y,z'
'-x,-y,-z'
'-x,y,-z'
'x,-y,z'
'x+1/2,y+1/2,z'
'-x+1/2,-y+1/2,-z'
'-x+1/2,y+1/2,-z'
'x+1/2,-y+1/2,z'
loop_
_atom_site_label
_atom_site_fract_x
_atom_site_fract_y
_atom_site_fract_z
Pm1 0.126 0.000 0.374
Al1 0.000 0.500 0.000
Ru1 0.000 0.500 0.500
Ru2 0.250 0.250 0.000
```